Here is crystalline Gd2Mo2C3 at its relaxed geometry from Alexandria. Energies are from GGA-PBEsol.

Properties
**N(E_F)**: 0.283 states/eV per atom
**Total magnetic moment**: 2.0000 μB/atom
**Energy of formation from the pure elements**: -35.8 kJ per mole of atoms
**Total DFT energy (no corrections)**: -11.9944 eV per atom

Unit cell a=11.7689 b=3.3225 c=5.7066 alpha=90.00 beta=113.16 gamma=90.00
Last column: nearest neighbours and their distance in Å.
Element x y z (fractional)
Gd1 0.1084 0.0000 0.3193  5 C 2.44-2.55
Gd2 0.3916 0.5000 0.6807  5 C 2.44-2.55
Gd3 0.6084 0.5000 0.3193  5 C 2.44-2.55
Gd4 0.8916 0.0000 0.6807  5 C 2.44-2.55
Mo1 0.1580 0.5000 0.8253  4 C 2.05-2.14
Mo2 0.3420 0.0000 0.1747  4 C 2.05-2.14
Mo3 0.6580 0.0000 0.8253  4 C 2.05-2.14
Mo4 0.8420 0.5000 0.1747  4 C 2.05-2.14
C1 0.0000 0.5000 0.5000  2 Mo 2.05
C2 0.2504 0.0000 0.7675  3 Mo 2.08-2.14
C3 0.2496 0.5000 0.2325  3 Mo 2.08-2.14
C4 0.5000 0.0000 0.5000  2 Mo 2.05
C5 0.7496 0.0000 0.2325  3 Mo 2.08-2.14
C6 0.7504 0.5000 0.7675  3 Mo 2.08-2.14